The following is a PBE calculation of an optimized crystal structure of Sc2HgSbRu, from Alexandria.

```
Sc2HgSbRu
1.0
-4.659 -1.381 1.789
-0.499 -3.404 -3.927
2.205 -3.675 2.906
Sc Sb Hg Ru
2 1 1 1
direct
0.000 0.000 0.500
0.500 0.000 0.000
0.000 0.500 0.000
0.000 0.000 0.000
0.500 0.500 0.500
```

Calculated volume: 27.994 Å³/atom
Magnetization: 0.00 μB per formula unit
Calculated total energy: -4.1437 eV/atom
Formation energy (no corrections): 1.13 eV per atom

The following is a PBE calculation of an optimized crystal structure of Eu3Tc5N12, from Alexandria.

```
Eu3Tc5N12
1.0
-2.080 -10.923 -1.001
8.632 2.757 -6.521
2.464 2.361 10.631
Eu Tc N
12 20 48
direct
0.750 0.375 0.125
0.875 0.750 0.125
0.375 0.750 0.625
0.250 0.125 0.375
0.875 0.125 0.250
0.375 0.625 0.250
0.625 0.375 0.750
0.125 0.875 0.750
0.750 0.875 0.625
0.625 0.250 0.375
0.125 0.250 0.875
0.250 0.625 0.875
0.125 0.375 0.250
0.000 0.500 0.000
0.000 0.000 0.000
0.375 0.250 0.125
0.500 0.000 0.500
0.500 0.500 0.000
0.125 0.750 0.375
0.750 0.125 0.875
0.750 0.625 0.375
0.375 0.125 0.750
0.625 0.875 0.250
0.500 0.500 0.500
0.500 0.000 0.000
0.000 0.000 0.500
0.250 0.375 0.625
0.250 0.875 0.125
0.000 0.500 0.500
0.875 0.250 0.625
0.625 0.750 0.875
0.875 0.625 0.750
0.692 0.112 0.008
0.317 0.508 0.396
0.992 0.388 0.308
0.508 0.192 0.112
0.579 0.692 0.683
0.992 0.604 0.183
0.317 0.808 0.421
0.104 0.921 0.112
0.604 0.992 0.683
0.692 0.579 0.183
0.808 0.492 0.388
0.817 0.896 0.008
0.112 0.692 0.508
0.388 0.396 0.079
0.079 0.896 0.388
0.421 0.112 0.604
0.079 0.183 0.192
0.492 0.683 0.104
0.817 0.921 0.308
0.112 0.421 0.104
0.388 0.992 0.808
0.604 0.612 0.421
0.896 0.817 0.508
0.808 0.317 0.921
0.396 0.388 0.579
0.104 0.183 0.492
0.192 0.683 0.079
0.183 0.079 0.692
0.612 0.008 0.192
0.888 0.579 0.896
0.508 0.317 0.896
0.579 0.888 0.396
0.921 0.817 0.808
0.921 0.104 0.612
0.888 0.308 0.492
0.183 0.104 0.992
0.612 0.604 0.921
0.396 0.008 0.317
0.308 0.421 0.817
0.192 0.508 0.612
0.896 0.079 0.888
0.683 0.192 0.579
0.492 0.808 0.888
0.008 0.396 0.817
0.421 0.308 0.317
0.008 0.612 0.692
0.683 0.492 0.604
0.308 0.888 0.992
```

Calculated volume: 13.391 Å³/atom
Magnetization: 18.44 μB per formula unit
Calculated total energy: -9.4359 eV/atom
Formation energy (no corrections): -0.31 eV per atom

The following is a PBE calculation of an optimized crystal structure of MgTaPdPt, from Alexandria.

```
MgTaPdPt
1.0
-2.481 0.407 3.777
-4.529 -0.118 -0.237
-2.264 -3.580 1.624
Mg Pd Pt Ta
1 1 1 1
direct
0.000 0.000 0.000
0.250 0.250 0.250
0.750 0.750 0.750
0.500 0.500 0.500
```

ΔE_f: -0.529 eV/atom
Calculated volume: 16.507 Å³/atom
Magnetization: 0.00 μB per formula unit
Calculated total energy: -6.6996 eV/atom

The following is a PBE calculation of an optimized crystal structure of CdNi3Sb, from Alexandria.

```
CdNi3Sb
1.0
4.647 0.000 0.000
0.000 4.647 0.000
0.000 0.000 4.647
Sb Ni Cd
1 3 1
direct
0.000 0.000 0.000
0.000 0.500 0.000
0.000 0.000 0.500
0.500 0.000 0.000
0.500 0.500 0.500
```

Calculated volume: 20.075 Å³/atom
Magnetization: 0.00 μB per formula unit
Calculated total energy: -3.8201 eV/atom
Energy above the lowest structure with this stoichiometry: 621 meV per atom
Formation energy (no corrections): 0.66 eV per atom

The following is a PBE calculation of an optimized crystal structure of YAgSCl2, from Alexandria.

```
YAgSCl2
1.0
-1.430 3.230 3.851
-4.973 -1.492 -0.596
0.745 -3.902 3.550
Y S Ag Cl
1 1 1 2
direct
0.000 0.000 0.000
0.000 0.000 0.500
0.500 0.500 0.500
0.000 0.500 0.000
0.500 0.000 0.000
```

Calculated volume: 29.101 Å³/atom
Magnetization: 0.00 μB per formula unit
Calculated total energy: -4.5624 eV/atom
Energy above the lowest structure with this stoichiometry: 0 meV per atom
Formation energy (no corrections): -1.14 eV per atom

The following is a PBE calculation of an optimized crystal structure of Ce5S4, from Alexandria.

```
Ce5S4
1.0
-0.778 -3.621 -0.513
4.422 -1.941 -6.632
5.767 -3.798 4.429
Ce S
5 4
direct
0.584 0.673 0.160
0.744 0.840 0.673
0.256 0.160 0.327
0.416 0.327 0.840
0.000 0.000 0.000
0.777 0.331 0.115
0.892 0.885 0.331
0.108 0.115 0.669
0.223 0.669 0.885
```

Calculated volume: 26.507 Å³/atom
Magnetization: 3.39 μB per formula unit
Calculated total energy: -6.6601 eV/atom
Formation energy (no corrections): -1.53 eV per atom